RbMnF2 GGA+U relaxed; D(E_F) = 0.29 states/eV/atom; relative energy among the computed polymorphs = 85.6 meV per atom
1.0
-0.055 4.802 -4.275
-5.606 2.057 2.383
-0.662 6.013 1.928
F Rb Mn
4 2 2
direct
0.375 0.469 0.750
0.531 0.125 0.250
0.875 0.781 0.750
0.219 0.625 0.250
0.000 0.000 0.000
0.750 0.250 0.500
0.250 0.750 0.500
0.500 0.500 0.000